The following is a PBE-GGA calculation of a relaxed structure of Nb2AgPt2, from Alexandria.

Symmetry: P4/mbm (127)
Volume, Å³/atom: 18.10
Formation energy, meV per atom: -254
Energy relative to the lowest polymorph listed for this composition, eV/atom: 0.1203
Theoretical density, Mg/m³: 12.5
Uncorrected energy, eV per atom: -7.2681

Cell: 8.0510 8.0510 2.7925 Å, 90.00 90.00 90.00°
Sites, in units of the cell vectors:
Ag 0.0000 0.0000 0.0000
Ag 0.5000 0.5000 0.0000
Nb 0.6227 0.1227 0.0000
Nb 0.8773 0.6227 0.0000
Nb 0.1227 0.3773 0.0000
Nb 0.3773 0.8773 0.0000
Pt 0.8297 0.3297 0.5000
Pt 0.3297 0.1703 0.5000
Pt 0.1703 0.6703 0.5000
Pt 0.6703 0.8297 0.5000



The following is a PBE-GGA calculation of a relaxed structure of Nb2AgPtS, from Alexandria.

Symmetry: P4/mmm (123)
Volume, Å³/atom: 23.55
Theoretical density, Mg/m³: 7.3
Uncorrected energy, eV per atom: -4.9122
E_form (uncorrected), eV per atom: 1.720

Cell: 4.9475 4.8110 4.9475 Å, 90.00 90.00 90.00°
Last column: magnetic moment on the atom in μB.
Sites, in units of the cell vectors:
Nb 0.5000 0.0000 0.0000  0.07
Nb 0.0000 0.0000 0.5000  0.05
Ag 0.0000 0.0000 0.0000  0.00
Pt 0.0000 0.5000 0.0000  -0.01
S 0.5000 0.5000 0.5000  -0.01



The following is a PBE-GGA calculation of a relaxed structure of NbTl2AgPt, from Alexandria.

Symmetry: P4/mmm (123)
Volume, Å³/atom: 28.38
Formation energy, meV per atom: 740
Theoretical density, Mg/m³: 9.4
Uncorrected energy, eV per atom: -3.9987

Cell: 5.2664 5.1160 5.2664 Å, 90.00 90.00 90.00°
Last column: magnetic moment on the atom in μB.
Sites, in units of the cell vectors:
Nb 0.0000 0.5000 0.0000  1.86
Pt 0.0000 0.0000 0.0000  0.02
Tl 0.0000 0.0000 0.5000  -0.01
Tl 0.5000 0.0000 0.0000  0.01
Ag 0.5000 0.5000 0.5000  -0.01



The following is a PBE-GGA calculation of a relaxed structure of Rb3NbAg, from Alexandria.

Symmetry: Pm-3m (221)
Volume, Å³/atom: 58.64
Formation energy, meV per atom: 1106
Energy relative to the lowest polymorph listed for this composition, eV/atom: 0.0000
Theoretical density, Mg/m³: 2.6
Uncorrected energy, eV per atom: -2.0583

Cell: 6.6432 6.6432 6.6432 Å, 90.00 90.00 90.00°
Last column: magnetic moment on the atom in μB.
Sites, in units of the cell vectors:
Ag 0.0000 0.0000 0.0000  0.01
Rb 0.0000 0.5000 0.0000  0.02
Rb 0.5000 0.0000 0.0000  0.01
Rb 0.0000 0.0000 0.5000  0.02
Nb 0.5000 0.5000 0.5000  3.12



The following is a PBE-GGA calculation of a relaxed structure of RbNbRe2Ag, from Alexandria.

Symmetry: P4/mmm (123)
Volume, Å³/atom: 21.01
Formation energy, meV per atom: 3531
Theoretical density, Mg/m³: 10.4
Uncorrected energy, eV per atom: -4.2256

Cell: 4.7192 4.7169 4.7192 Å, 90.00 90.00 90.00°
Sites, in units of the cell vectors:
Nb 0.0000 0.5000 0.0000
Rb 0.0000 0.0000 0.0000
Re 0.5000 0.0000 0.0000
Re 0.0000 0.0000 0.5000
Ag 0.5000 0.5000 0.5000



The following is a PBE-GGA calculation of a relaxed structure of RbNbAgSe4, from Alexandria.

Symmetry: P2_1/m (11)
Volume, Å³/atom: 32.80
Theoretical density, Mg/m³: 4.4
Uncorrected energy, eV per atom: -4.6080
E_form (uncorrected), eV per atom: -0.633

Cell: 6.1541 7.6295 10.1767 Å, 90.00 106.02 90.00°
Sites, in units of the cell vectors:
Se 0.0887 0.5131 0.7350
Se 0.9113 0.4869 0.2650
Se 0.9113 0.0131 0.2650
Se 0.0887 0.9869 0.7350
Se 0.7310 0.2500 0.9379
Se 0.2690 0.7500 0.0621
Se 0.5542 0.2500 0.5268
Se 0.4458 0.7500 0.4732
Nb 0.8673 0.2500 0.7333
Nb 0.1327 0.7500 0.2667
Rb 0.3463 0.2500 0.1436
Rb 0.6537 0.7500 0.8564
Ag 0.3623 0.2500 0.7258
Ag 0.6377 0.7500 0.2742